GGA-PBE AcPrLuSn, relaxed; total magnetic moment = 0.0 μB/cell; E_tot = -18.0 eV/cell
1.0
-3.4071 -4.4510 0.0473
-0.2573 -3.2846 4.5351
-4.5904 0.0183 3.2170
Pr Ac Lu Sn
1 1 1 1
Cartesian
0.0000 0.0000 0.0000
-2.0637 -1.9293 1.9499
-4.1274 -3.8586 3.8997
-6.1911 -5.7880 5.8496

***

GGA-PBE Tc2OsRu, relaxed; total magnetic moment = 0.0 μB/cell; E_tot = -41.0 eV/cell; energy relative to the lowest polymorph listed for this composition = 0.141 eV per atom
1.0
9.0881 0.0036 0.0021
8.6795 2.6944 0.0021
8.6795 1.3180 2.3501
Os Ru Tc
1 1 2
Cartesian
6.6118 1.0040 0.5886
19.8353 3.0120 1.7657
0.0085 0.0013 0.0008
13.2150 2.0067 1.1764

***

GGA-PBE TcIrW, relaxed; total magnetic moment = 0.0 μB/cell; E_tot = -64.4 eV/cell; energy relative to the lowest polymorph listed for this composition = 0.093 eV per atom
1.0
-3.3454 -2.7190 0.7834
4.0830 -1.1894 1.0542
-0.6388 2.2209 4.9801
W Ir Tc
2 2 2
Cartesian
-1.9921 -0.2491 2.8817
-1.6727 -1.3595 0.3917
0.6438 -0.2945 1.7270
-0.5450 -1.3931 5.0907
0.3243 0.8160 4.2170
-0.2255 -2.5036 2.6007

***

GGA-PBE Ta3Re2, relaxed; total magnetic moment = 0.0 μB/cell; E_tot = -124.5 eV/cell; energy relative to the lowest polymorph listed for this composition = 0.000 eV per atom
1.0
-3.1543 0.1122 -0.5859
-0.1326 -3.2060 0.0995
-2.9471 0.6179 15.9841
Ta Re
6 4
Cartesian
-2.6310 0.5516 14.2695
-0.3161 0.0663 1.7146
-0.8939 0.1874 4.8484
-1.4736 0.3089 7.9920
-2.0532 0.4305 11.1357
-1.6434 -1.5469 -0.2432
-2.2465 -1.4204 3.0277
-2.8271 -1.2987 6.1765
-3.4069 -1.1771 9.3211
-3.9875 -1.0554 12.4699

***

How do the records compare in formation energy from the elements? In the order shown, they have -0.15, 0.06, -0.01, -0.36 eV/atom.